(1)
{
  "formula": "CuSnPd2Pb",
  "functional": "PBE-GGA",
  "state": "optimized geometry",
  "sg": "No. 123",
  "delta_e_f_mev_per_atom": 353,
  "lattice": [[-2.0975, 1.6074, -4.0474], [2.0453, -3.5820, -2.4825], [-3.8403, -2.8011, 0.8777]],
  "species": ["Cu", "Pd", "Pd", "Pb", "Sn"],
  "frac_coords": [[0.0000, 0.0000, 0.0000], [0.5000, 0.0000, 0.0000], [0.0000, 0.0000, 0.5000], [0.0000, 0.5000, 0.0000], [0.5000, 0.5000, 0.5000]]
}

---

(2)
{
  "formula": "Sr2Cu2Pd5Pb",
  "functional": "PBE-GGA",
  "state": "optimized geometry",
  "sg": "No. 127",
  "delta_e_f_mev_per_atom": -441,
  "lattice": [[-0.2724, -3.7283, 1.2389], [5.7066, -2.9279, -7.5567], [8.0751, 1.2725, 5.6050]],
  "species": ["Pd", "Pd", "Pd", "Pd", "Pd", "Pd", "Pd", "Pd", "Pd", "Pd", "Sr", "Sr", "Sr", "Sr", "Pb", "Pb", "Cu", "Cu", "Cu", "Cu"],
  "frac_coords": [[0.5000, 0.9339, 0.2148], [0.5000, 0.2852, 0.5661], [0.5000, 0.4339, 0.2852], [0.5000, 0.7852, 0.9339], [0.5000, 0.7148, 0.4339], [0.5000, 0.5661, 0.7148], [0.5000, 0.5000, 0.0000], [0.5000, 0.0661, 0.7852], [0.5000, 0.0000, 0.5000], [0.5000, 0.2148, 0.0661], [0.0000, 0.3234, 0.8234], [0.0000, 0.6766, 0.1766], [0.0000, 0.1766, 0.3234], [0.0000, 0.8234, 0.6766], [0.0000, 0.5000, 0.5000], [0.0000, 0.0000, 0.0000], [0.0000, 0.6198, 0.8802], [0.0000, 0.3802, 0.1198], [0.0000, 0.8802, 0.3802], [0.0000, 0.1198, 0.6198]]
}

---

| no. | total magnetic moment (μB/f.u.) |
| --- | --- |
| 1 | 0.000 |
| 2 | 0.000 |